1.
Compound: KCr2FePd
Source: the Alexandria database
Functional: GGA-PBE
Structure: optimized geometry

Geometry as POSCAR:
```
KCr2FePd
1.0
-1.948 4.398 1.670
-2.723 -2.422 3.203
3.738 0.349 3.441
Pd Cr Fe K
1 2 1 1
Direct
0.000 0.000 0.000 Pd
0.500 0.000 0.000 Cr
0.000 0.000 0.500 Cr
0.000 0.500 0.000 Fe
0.500 0.500 0.500 K
```

## Properties
* crystal system: tetragonal
* size of the total moment: 12.369 μB per cell
* space group: P4/mmm, No. 123
* DOS at the Fermi energy: 1.320 states/eV per atom
* final energy: -5.692 eV/atom

2.
Compound: KCrFeSe3
Source: the Alexandria database
Functional: GGA-PBE
Structure: optimized geometry

Geometry as POSCAR:
```
KCrFeSe3
1.0
-2.613 -1.550 2.263
3.486 -7.863 -1.359
3.928 4.322 7.496
Cr Se Fe K
2 6 2 2
Direct
0.750 0.336 0.857 Cr
0.250 0.664 0.143 Cr
0.250 0.771 0.447 Se
0.250 0.134 0.862 Se
0.750 0.469 0.141 Se
0.250 0.531 0.859 Se
0.750 0.866 0.138 Se
0.750 0.229 0.553 Se
0.750 0.932 0.407 Fe
0.250 0.068 0.593 Fe
0.250 0.214 0.242 K
0.750 0.786 0.758 K
```

## Properties
* crystal system: monoclinic
* ΔE_f (raw): -0.625 eV/atom
* size of the total moment: 12.684 μB per cell
* space group: P2_1/m, No. 11
* DOS at the Fermi energy: 0.481 states/eV per atom
* final energy: -5.565 eV/atom

3.
Compound: K2CrFe2Se4
Source: the Alexandria database
Functional: GGA-PBE
Structure: optimized geometry

Geometry as POSCAR:
```
K2CrFe2Se4
1.0
3.807 0.000 0.000
0.000 7.864 0.440
-1.903 -2.685 6.705
K Fe Se Cr
2 2 4 1
Direct
0.870 0.446 0.741 K
0.130 0.554 0.259 K
0.688 0.987 0.376 Fe
0.312 0.013 0.624 Fe
0.480 0.212 0.961 Se
0.194 0.189 0.388 Se
0.806 0.811 0.612 Se
0.520 0.788 0.039 Se
0.000 0.000 0.000 Cr
```

## Properties
* crystal system: monoclinic
* ΔE_f (raw): -0.627 eV/atom
* size of the total moment: 3.688 μB per cell
* space group: C2/m, No. 12
* DOS at the Fermi energy: 0.538 states/eV per atom
* final energy: -5.370 eV/atom

4.
Compound: KCrFe2Sn
Source: the Alexandria database
Functional: GGA-PBE
Structure: optimized geometry

Geometry as POSCAR:
```
KCrFe2Sn
1.0
4.980 0.000 0.000
0.000 6.120 0.000
0.000 0.000 4.980
Fe K Sn Cr
2 1 1 1
Direct
0.500 0.000 0.000 Fe
0.000 0.000 0.500 Fe
0.000 0.500 0.000 K
0.000 0.000 0.000 Sn
0.500 0.500 0.500 Cr
```

## Properties
* crystal system: tetragonal
* size of the total moment: 10.815 μB per cell
* space group: P4/mmm, No. 123
* DOS at the Fermi energy: 1.342 states/eV per atom
* final energy: -4.794 eV/atom

> Which of these has the highest final energy?

KCrFe2Sn

> Among the records above, which one has the lowest size of the total moment?

K2CrFe2Se4